# 1
The following is a GGA-PBE calculation of a relaxed structure of Ni2IrPt, from the Alexandria database.

Computed properties:
Density: 15.761 g cm⁻³
Calculated formation energy: 0.009 eV per atom
Fermi-level density of states: 6.30 states/eV per cell
Relative energy among the computed polymorphs: 0.196 eV/f.u.

Cell and atoms, written as CIF:
```
data_Ni2IrPt
_cell_length_a 4.5145
_cell_length_b 2.6890
_cell_length_c 4.6679
_cell_angle_alpha 90.00
_cell_angle_beta 110.22
_cell_angle_gamma 90.00
_space_group_name_H-M_alt 'P 1 2/m 1'
_space_group_IT_number 10
loop_
_space_group_symop_operation_xyz
'x,y,z'
'-x,-y,-z'
'-x,y,-z'
'x,-y,z'
loop_
_atom_site_label
_atom_site_fract_x
_atom_site_fract_y
_atom_site_fract_z
_atom_site_occupancy
Ni1 0.0000 0.0000 0.0000 1
Ni2 0.0000 0.5000 0.5000 1
Ir1 0.5000 0.0000 0.5000 1
Pt1 0.5000 0.5000 0.0000 1
```

# 2
The following is a GGA-PBE calculation of a relaxed structure of Ni2IrPt, from the Alexandria database.

Computed properties:
Density: 15.434 g cm⁻³
Calculated formation energy: 0.151 eV per atom
Fermi-level density of states: 14.04 states/eV per cell
Relative energy among the computed polymorphs: 0.766 eV/f.u.

Cell and atoms, written as CIF:
```
data_Ni2IrPt
_cell_length_a 5.3331
_cell_length_b 8.8005
_cell_length_c 2.6489
_cell_angle_alpha 90.00
_cell_angle_beta 119.12
_cell_angle_gamma 90.00
_space_group_name_H-M_alt 'C 1 2/m 1'
_space_group_IT_number 12
loop_
_space_group_symop_operation_xyz
'x,y,z'
'-x,-y,-z'
'-x,y,-z'
'x,-y,z'
'x+1/2,y+1/2,z'
'-x+1/2,-y+1/2,-z'
'-x+1/2,y+1/2,-z'
'x+1/2,-y+1/2,z'
loop_
_atom_site_label
_atom_site_fract_x
_atom_site_fract_y
_atom_site_fract_z
_atom_site_occupancy
Ni1 0.2500 0.2500 0.0000 1
Ir1 0.0000 0.0000 0.5000 1
Pt1 0.0000 0.5000 0.5000 1
```

# 3
The following is a GGA-PBE calculation of a relaxed structure of Ni2IrPt5, from the Alexandria database.

Computed properties:
Density: 18.381 g cm⁻³
Calculated formation energy: -0.031 eV per atom
Fermi-level density of states: 23.87 states/eV per cell

Cell and atoms, written as CIF:
```
data_Ni2IrPt5
_cell_length_a 5.5094
_cell_length_b 11.0189
_cell_length_c 3.8246
_cell_angle_alpha 90.00
_cell_angle_beta 90.00
_cell_angle_gamma 90.00
_space_group_name_H-M_alt 'P b a m'
_space_group_IT_number 55
loop_
_space_group_symop_operation_xyz
'x,y,z'
'-x,-y,-z'
'-x,-y,z'
'x,y,-z'
'x+1/2,-y+1/2,-z'
'-x+1/2,y+1/2,z'
'-x+1/2,y+1/2,-z'
'x+1/2,-y+1/2,z'
loop_
_atom_site_label
_atom_site_fract_x
_atom_site_fract_y
_atom_site_fract_z
_atom_site_occupancy
Ni1 0.2481 0.1230 0.0000 1
Ir1 0.0000 0.0000 0.5000 1
Pt1 0.0000 0.5000 0.5000 1
Pt2 0.0036 0.2468 0.5000 1
Pt3 0.2479 0.8774 0.0000 1
```

# 4
The following is a GGA-PBE calculation of a relaxed structure of Ni4IrPt, from the Alexandria database.

Computed properties:
Density: 13.999 g cm⁻³
Calculated formation energy: 0.076 eV per atom
Fermi-level density of states: 21.37 states/eV per cell
Relative energy among the computed polymorphs: 0.056 eV/f.u.

Cell and atoms, written as CIF:
```
data_Ni4IrPt
_cell_length_a 6.6580
_cell_length_b 6.6580
_cell_length_c 6.6580
_cell_angle_alpha 90.00
_cell_angle_beta 90.00
_cell_angle_gamma 90.00
_space_group_name_H-M_alt 'F -4 3 m'
_space_group_IT_number 216
_space_group_name_Hall 'F -4 2 3'
loop_
_atom_site_label
_atom_site_fract_x
_atom_site_fract_y
_atom_site_fract_z
_atom_site_occupancy
Ni1 0.1251 0.1251 0.1251 1
Ir1 0.0000 0.0000 0.5000 1
Pt1 0.2500 0.2500 0.7500 1
```

# 5
The following is a GGA-PBE calculation of a relaxed structure of Ni12Ir2Pt5, from the Alexandria database.

Computed properties:
Density: 13.823 g cm⁻³
Calculated formation energy: 0.088 eV per atom
Fermi-level density of states: 64.61 states/eV per cell

Cell and atoms, written as CIF:
```
data_Ni12Ir2Pt5
_cell_length_a 11.5429
_cell_length_b 7.7327
_cell_length_c 5.5587
_cell_angle_alpha 90.00
_cell_angle_beta 91.79
_cell_angle_gamma 90.00
_space_group_name_H-M_alt 'C 1 2/m 1'
_space_group_IT_number 12
loop_
_space_group_symop_operation_xyz
'x,y,z'
'-x,-y,-z'
'-x,y,-z'
'x,-y,z'
'x+1/2,y+1/2,z'
'-x+1/2,-y+1/2,-z'
'-x+1/2,y+1/2,-z'
'x+1/2,-y+1/2,z'
loop_
_atom_site_label
_atom_site_fract_x
_atom_site_fract_y
_atom_site_fract_z
_atom_site_occupancy
Ni1 0.0467 0.0000 0.3008 1
Ni2 0.1039 0.2275 0.6003 1
Ni3 0.1276 0.5000 0.9099 1
Ni4 0.1961 0.2581 0.2013 1
Ir1 0.0000 0.2496 0.0000 1
Pt1 0.0000 0.5000 0.5000 1
Pt2 0.1620 0.0000 0.9172 1
Pt3 0.2374 0.5000 0.5178 1
```

# 6
The following is a GGA-PBE calculation of a relaxed structure of Ni4IrPt2, from the Alexandria database.

Computed properties:
Density: 14.040 g cm⁻³
Calculated formation energy: 0.275 eV per atom
Fermi-level density of states: 44.62 states/eV per cell
Relative energy among the computed polymorphs: 0.000 eV/f.u.

Cell and atoms, written as CIF:
```
data_Ni4IrPt2
_cell_length_a 7.3209
_cell_length_b 7.3209
_cell_length_c 7.2128
_cell_angle_alpha 90.00
_cell_angle_beta 90.00
_cell_angle_gamma 90.00
_space_group_name_H-M_alt 'I -4 2 d'
_space_group_IT_number 122
_space_group_name_Hall 'I -4 2bw'
loop_
_atom_site_label
_atom_site_fract_x
_atom_site_fract_y
_atom_site_fract_z
_atom_site_occupancy
Ni1 0.0808 0.1737 0.2810 1
Ir1 0.0000 0.0000 0.0000 1
Pt1 0.1153 0.2500 0.6250 1
```

# 7
The following is a GGA-PBE calculation of a relaxed structure of Ni5Ir2Pt12, from the Alexandria database.

Computed properties:
Density: 16.661 g cm⁻³
Calculated formation energy: 0.230 eV per atom
Fermi-level density of states: 61.79 states/eV per cell

Cell and atoms, written as CIF:
```
data_Ni5Ir2Pt12
_cell_length_a 16.5536
_cell_length_b 5.4082
_cell_length_c 7.1238
_cell_angle_alpha 90.00
_cell_angle_beta 109.35
_cell_angle_gamma 90.00
_space_group_name_H-M_alt 'C 1 2/m 1'
_space_group_IT_number 12
loop_
_space_group_symop_operation_xyz
'x,y,z'
'-x,-y,-z'
'-x,y,-z'
'x,-y,z'
'x+1/2,y+1/2,z'
'-x+1/2,-y+1/2,-z'
'-x+1/2,y+1/2,-z'
'x+1/2,-y+1/2,z'
loop_
_atom_site_label
_atom_site_fract_x
_atom_site_fract_y
_atom_site_fract_z
_atom_site_occupancy
Ni1 0.0000 0.0000 0.0000 1
Ni2 0.0624 0.5000 0.2948 1
Ni3 0.2498 0.0000 0.9922 1
Ir1 0.0000 0.2398 0.5000 1
Pt1 0.0963 0.0000 0.8096 1
Pt2 0.0969 0.5000 0.8148 1
Pt3 0.1566 0.2438 0.1682 1
Pt4 0.1797 0.2488 0.5672 1
```

# 8
The following is a GGA-PBE calculation of a relaxed structure of NiIr2Pt, from the Alexandria database.

Computed properties:
Density: 18.383 g cm⁻³
Calculated formation energy: 0.230 eV per atom
Fermi-level density of states: 16.04 states/eV per cell
Relative energy among the computed polymorphs: 0.949 eV/f.u.

Cell and atoms, written as CIF:
```
data_NiIr2Pt
_cell_length_a 2.6961
_cell_length_b 4.6729
_cell_length_c 9.1520
_cell_angle_alpha 90.00
_cell_angle_beta 90.00
_cell_angle_gamma 90.00
_space_group_name_H-M_alt 'C m m m'
_space_group_IT_number 65
_space_group_name_Hall '-C 2 2'
loop_
_atom_site_label
_atom_site_fract_x
_atom_site_fract_y
_atom_site_fract_z
_atom_site_occupancy
Ni1 0.0000 0.0000 0.0000 1
Ir1 0.0000 0.5000 0.2347 1
Pt1 0.0000 0.0000 0.5000 1
```

# 9
The following is a GGA-PBE calculation of a relaxed structure of NiIr2Pt, from the Alexandria database.

Computed properties:
Density: 18.568 g cm⁻³
Calculated formation energy: 0.319 eV per atom
Fermi-level density of states: 23.37 states/eV per cell
Relative energy among the computed polymorphs: 1.303 eV/f.u.

Cell and atoms, written as CIF:
```
data_NiIr2Pt
_cell_length_a 6.1118
_cell_length_b 6.1118
_cell_length_c 6.1118
_cell_angle_alpha 90.00
_cell_angle_beta 90.00
_cell_angle_gamma 90.00
_space_group_name_H-M_alt 'F m -3 m'
_space_group_IT_number 225
_space_group_name_Hall '-F 4 2 3'
loop_
_atom_site_label
_atom_site_fract_x
_atom_site_fract_y
_atom_site_fract_z
_atom_site_occupancy
Ni1 0.0000 0.0000 0.0000 1
Ir1 0.2500 0.2500 0.2500 1
Pt1 0.0000 0.0000 0.5000 1
```

# 10
The following is a GGA-PBE calculation of a relaxed structure of Ni5Ir2Pt4, from the Alexandria database.

Computed properties:
Density: 15.519 g cm⁻³
Calculated formation energy: 0.148 eV per atom
Fermi-level density of states: 36.38 states/eV per cell

Cell and atoms, written as CIF:
```
data_Ni5Ir2Pt4
_cell_length_a 12.8985
_cell_length_b 3.9055
_cell_length_c 6.2088
_cell_angle_alpha 90.00
_cell_angle_beta 93.84
_cell_angle_gamma 90.00
_space_group_name_H-M_alt 'C 1 2/m 1'
_space_group_IT_number 12
loop_
_space_group_symop_operation_xyz
'x,y,z'
'-x,-y,-z'
'-x,y,-z'
'x,-y,z'
'x+1/2,y+1/2,z'
'-x+1/2,-y+1/2,-z'
'-x+1/2,y+1/2,-z'
'x+1/2,-y+1/2,z'
loop_
_atom_site_label
_atom_site_fract_x
_atom_site_fract_y
_atom_site_fract_z
_atom_site_occupancy
Ni1 0.0000 0.0000 0.0000 1
Ni2 0.1041 0.5000 0.1000 1
Ni3 0.2188 0.5000 0.4172 1
Ir1 0.0852 0.0000 0.3945 1
Pt1 0.0629 0.5000 0.6906 1
Pt2 0.2403 0.0000 0.1422 1
```

# 11
The following is a GGA-PBE calculation of a relaxed structure of Ni6IrPt12, from the Alexandria database.

Computed properties:
Density: 16.424 g cm⁻³
Calculated formation energy: 0.189 eV per atom
Fermi-level density of states: 94.55 states/eV per cell

Cell and atoms, written as CIF:
```
data_Ni6IrPt12
_cell_length_a 10.8417
_cell_length_b 10.8417
_cell_length_c 8.5974
_cell_angle_alpha 90.00
_cell_angle_beta 90.00
_cell_angle_gamma 120.00
_space_group_name_H-M_alt 'R -3'
_space_group_IT_number 148
_space_group_name_Hall '-R 3'
loop_
_atom_site_label
_atom_site_fract_x
_atom_site_fract_y
_atom_site_fract_z
_atom_site_occupancy
Ni1 0.0282 0.8889 0.2153 1
Ir1 0.0000 0.0000 0.5000 1
Pt1 0.0590 0.5891 0.1277 1
Pt2 0.0634 0.5885 0.6187 1
```

# 12
The following is a GGA-PBE calculation of a relaxed structure of NiIr2Pt, from the Alexandria database.

Computed properties:
Density: 18.342 g cm⁻³
Calculated formation energy: 0.199 eV per atom
Fermi-level density of states: 11.78 states/eV per cell
Relative energy among the computed polymorphs: 0.826 eV/f.u.

Cell and atoms, written as CIF:
```
data_NiIr2Pt
_cell_length_a 5.3192
_cell_length_b 9.3289
_cell_length_c 2.7000
_cell_angle_alpha 90.00
_cell_angle_beta 120.40
_cell_angle_gamma 90.00
_space_group_name_H-M_alt 'C 1 2/m 1'
_space_group_IT_number 12
loop_
_space_group_symop_operation_xyz
'x,y,z'
'-x,-y,-z'
'-x,y,-z'
'x,-y,z'
'x+1/2,y+1/2,z'
'-x+1/2,-y+1/2,-z'
'-x+1/2,y+1/2,-z'
'x+1/2,-y+1/2,z'
loop_
_atom_site_label
_atom_site_fract_x
_atom_site_fract_y
_atom_site_fract_z
_atom_site_occupancy
Ni1 0.0000 0.0000 0.0000 1
Ir1 0.2500 0.2500 0.0000 1
Pt1 0.0000 0.5000 0.0000 1
```